Entry from Alexandria: HfBeCo3 after structural relaxation (GGA-PBE).

Space group   No. 65
Calculated volume   59.44 Å³/f.u.
Polymorph energy (0 for the lowest one)   0 meV per atom
Formation energy from the elements   -0.291 eV per atom
Magnetization   2.2 μB/f.u.

Lattice parameters (Å, degrees): 3.1648 6.3411 6.3411 110.91 90.00 90.00
Last column: nearest neighbours and their distance in Å.
Fractional positions:
Co 0.0000 0.9334 0.6806  2 Be 2.19
Co 0.0000 0.6806 0.9334  2 Be 2.19
Co 0.0000 0.3194 0.0666  2 Be 2.19
Co 0.5000 0.0000 0.0000  2 Be 2.14
Co 0.0000 0.0666 0.3194  2 Be 2.19
Co 0.0000 0.5000 0.5000  4 Be 2.15
Hf 0.5000 0.7154 0.2846  11 Co 2.68-2.97, 2 Be 2.68
Hf 0.5000 0.2846 0.7154  11 Co 2.68-2.97, 2 Be 2.68
Be 0.5000 0.2976 0.2976  7 Co 2.14-2.19
Be 0.5000 0.7024 0.7024  7 Co 2.14-2.19

=====

Entry from Alexandria: InSi2H2 after structural relaxation (GGA-PBE).

Space group   No. 139
Calculated volume   68.87 Å³/f.u.
Polymorph energy (0 for the lowest one)   0 meV per atom
Magnetization   0.0 μB/f.u.

Lattice parameters (Å, degrees): 3.8223 3.8223 5.4336 69.41 69.41 90.00
Last column: nearest neighbours and their distance in Å.
Fractional positions:
H 0.7073 0.7073 0.5854  4 Si 1.95
H 0.2927 0.2927 0.4146  4 Si 1.95
In 0.0000 0.0000 0.0000  2 H 2.76, 8 Si 3.03
Si 0.7500 0.2500 0.5000  4 H 1.95
Si 0.2500 0.7500 0.5000  4 H 1.95

=====

Entry from Alexandria: TePt8 after structural relaxation (GGA-PBE).

Uncorrected formation energy   -4 meV/atom
Space group   No. 139
Calculated volume   147.59 Å³/f.u.
Magnetization   0.0 μB/f.u.

Lattice parameters (Å, degrees): 6.4007 6.4007 6.4007 95.57 95.57 143.68
Last column: nearest neighbours and their distance in Å.
Fractional positions:
Pt 0.3311 0.6689 0.0000  10 Pt 2.81-2.91, 2 Te 2.86
Pt 0.6689 0.3311 0.0000  10 Pt 2.81-2.91, 2 Te 2.86
Pt 0.3352 0.0000 0.3352  11 Pt 2.83-2.85, 1 Te 2.88
Pt 0.6648 0.0000 0.6648  11 Pt 2.83-2.85, 1 Te 2.88
Pt 0.0000 0.3352 0.3352  11 Pt 2.83-2.85, 1 Te 2.88
Pt 0.6689 0.6689 0.3379  10 Pt 2.81-2.91, 2 Te 2.86
Pt 0.3311 0.3311 0.6621  10 Pt 2.81-2.91, 2 Te 2.86
Pt 0.0000 0.6648 0.6648  11 Pt 2.83-2.85, 1 Te 2.88
Te 0.0000 0.0000 0.0000  12 Pt 2.86-2.88

=====

Entry from Alexandria: TeOs2Pt after structural relaxation (GGA-PBE).

Uncorrected formation energy   390 meV/atom
Space group   No. 25
Calculated volume   72.69 Å³/f.u.
Magnetization   0.0 μB/f.u.

Lattice parameters (Å, degrees): 3.6365 2.8098 7.6514 68.41 90.00 90.00
Last column: nearest neighbours and their distance in Å.
Fractional positions:
Pt 0.0000 0.4180 0.4570  2 Te 2.78, 5 Os 2.81-2.82, 2 Pt 2.81
Te 0.5000 0.1233 0.7522  2 Pt 2.78, 2 Te 2.81, 2 Os 2.86
Os 0.5000 0.1462 0.2285  6 Os 2.58-2.81, 4 Pt 2.81-2.82
Os 0.0000 0.8125 0.0623  6 Os 2.58-2.81, 1 Pt 2.81, 2 Te 2.86

=====

> Which formula does entry 1 have?

HfBeCo3